No. 1
Sr2LiDyTe4 PBE relaxed; calculated total energy = -4.28 eV per atom; spin magnetization = 0.0 μB/f.u.; formation energy (no corrections) = -1.4740 eV/atom
1.0
4.560 0.000 0.000
0.000 7.859 0.176
0.000 -2.708 7.376
Sr Te Dy Li
2 4 1 1
Direct
0.500 0.000 0.500
0.000 0.500 0.500
0.500 0.757 0.775
0.000 0.254 0.773
0.000 0.746 0.227
0.500 0.243 0.225
0.000 0.000 0.000
0.500 0.500 0.000

---

No. 2
Sr3LiDy2Te6 PBE relaxed; calculated total energy = -4.41 eV per atom; density of states at the Fermi level = 3.89 states/eV per cell; spin magnetization = 0.0 μB/f.u.; formation energy (no corrections) = -1.4933 eV/atom
1.0
-7.038 -0.179 3.443
2.889 -6.472 -3.345
4.591 0.313 6.425
Dy Te Sr Li
2 6 3 1
Direct
0.667 0.333 0.000
0.333 0.667 0.000
0.591 0.924 0.773
0.409 0.076 0.227
0.743 0.743 0.227
0.076 0.409 0.227
0.924 0.591 0.773
0.257 0.257 0.773
0.500 0.500 0.500
0.166 0.834 0.500
0.834 0.166 0.500
0.000 0.000 0.000

---

No. 3
SrLiDy2Te4 PBE relaxed; calculated total energy = -4.55 eV per atom; density of states at the Fermi level = 5.42 states/eV per cell; spin magnetization = 0.0 μB/f.u.; formation energy (no corrections) = -1.3742 eV/atom
1.0
4.427 0.000 0.000
-2.214 7.306 0.000
0.000 0.000 15.372
Li Sr Te Dy
2 2 8 4
Direct
0.851 0.701 0.750
0.149 0.299 0.250
0.876 0.753 0.250
0.124 0.247 0.750
0.272 0.543 0.384
0.000 0.000 0.500
0.453 0.906 0.750
0.000 0.000 0.000
0.728 0.457 0.616
0.728 0.457 0.884
0.272 0.543 0.116
0.547 0.094 0.250
0.628 0.255 0.440
0.372 0.745 0.560
0.628 0.255 0.060
0.372 0.745 0.940

---

No. 4
Sr4LiDy3Te8 PBE relaxed; calculated total energy = -4.47 eV per atom; density of states at the Fermi level = 4.24 states/eV per cell; spin magnetization = 0.0 μB/f.u.; formation energy (no corrections) = -1.4971 eV/atom
1.0
-4.128 6.971 -3.985
2.512 -3.176 -8.157
-4.591 -5.331 5.658
Dy Te Sr Li
3 8 4 1
Direct
0.000 0.500 0.500
0.500 0.500 0.000
0.500 0.500 0.500
0.256 0.269 0.513
0.758 0.273 0.517
0.744 0.731 0.487
0.242 0.727 0.985
0.744 0.727 0.985
0.242 0.727 0.483
0.758 0.273 0.015
0.256 0.273 0.015
0.500 0.000 0.000
0.500 0.000 0.500
0.000 0.000 0.500
0.000 0.000 0.000
0.000 0.500 0.000

---

No. 5
SrLi2DyTl4 PBE relaxed; energy relative to the elements = -301 meV/atom; calculated total energy = -2.75 eV per atom; density of states at the Fermi level = 3.32 states/eV per cell; spin magnetization = 0.0 μB/f.u.
1.0
-0.008 4.017 -3.440
2.167 -0.612 -4.785
-6.947 -1.560 -5.870
Tl Li Sr Dy
4 2 1 1
Direct
0.128 0.128 0.615
0.872 0.872 0.385
0.621 0.621 0.138
0.379 0.379 0.862
0.248 0.248 0.256
0.752 0.752 0.744
0.000 0.000 0.000
0.500 0.500 0.500

---

No. 6
SrLiDyZn PBE relaxed; energy relative to the elements = -6 meV/atom; calculated total energy = -2.37 eV per atom; density of states at the Fermi level = 3.61 states/eV per cell; spin magnetization = 0.0 μB/f.u.
1.0
-2.754 -3.614 2.845
2.221 -2.267 4.321
-1.790 1.244 4.898
Zn Sr Dy Li
1 1 1 1
Direct
0.000 0.000 0.000
0.250 0.250 0.250
0.750 0.750 0.750
0.500 0.500 0.500

---

Look up the spin magnetization of the fifth one. 0.0 μB/f.u.

---

What did the third record say?
SrLiDy2Te4 PBE relaxed; calculated total energy = -4.55 eV per atom; density of states at the Fermi level = 5.42 states/eV per cell; spin magnetization = 0.0 μB/f.u.; formation energy (no corrections) = -1.3742 eV/atom
1.0
4.427 0.000 0.000
-2.214 7.306 0.000
0.000 0.000 15.372
Li Sr Te Dy
2 2 8 4
Direct
0.851 0.701 0.750
0.149 0.299 0.250
0.876 0.753 0.250
0.124 0.247 0.750
0.272 0.543 0.384
0.000 0.000 0.500
0.453 0.906 0.750
0.000 0.000 0.000
0.728 0.457 0.616
0.728 0.457 0.884
0.272 0.543 0.116
0.547 0.094 0.250
0.628 0.255 0.440
0.372 0.745 0.560
0.628 0.255 0.060
0.372 0.745 0.940